First-principles (GGA+U) data for a relaxed HfReWO2 crystal, as listed in Alexandria via LeMat-Bulk.

It has space group P4/mmm (No. 123), with a = 3.8622 Å, b = 3.8622 Å, c = 5.4456 Å, α = 90.00°, β = 90.00° and γ = 90.00°. Symmetry generates all atoms from Hf at (0.0000, 0.0000, 0.0000), Re at (0.5000, 0.5000, 0.0000), W at (0.5000, 0.5000, 0.5000) and O at (0.0000, 0.5000, 0.5000).

The value obtained for the magnetization is 0.00 μB/f.u. As for the calculated total energy: -8.29 eV/atom. Its density is 11.868 g/cm3.